1.
A relaxed structure of Hf2ZrAu2. Source: the Alexandria database, functional PBE.

Output
Symmetry: I4/mmm (139)
Energy above the lowest structure with this stoichiometry in meV per atom: 278.0
Formation energy from the elements in kJ/mol of formula units: -46
Crystal system: tetragonal

POSCAR file:
```
Hf2ZrAu2
1.0
-2.750 -3.190 -0.099
1.519 -1.193 -3.744
3.513 -5.839 0.915
Au Hf Zr
2 2 1
Cartesian
0.249 -2.955 -1.328 Au
2.033 -7.267 -1.600 Au
2.208 -4.611 -2.375 Hf
0.074 -5.610 -0.553 Hf
0.000 0.000 0.000 Zr
```



2.
A relaxed structure of KDyCl3. Source: the Alexandria database, functional PBE.

Output
Symmetry: Pm-3m (221)
ΔE_f (raw) in kJ per mole of atoms: -176.59
Crystal system: cubic

POSCAR file:
```
KDyCl3
1.0
5.341 0.000 0.000
0.000 5.341 0.000
0.000 0.000 5.341
Cl K Dy
3 1 1
Cartesian
0.000 0.000 2.671 Cl
0.000 2.671 0.000 Cl
2.671 0.000 0.000 Cl
2.671 2.671 2.671 K
0.000 0.000 0.000 Dy
```



3.
A relaxed structure of Pm4TlGe. Source: the Alexandria database, functional PBE.

Output
Symmetry: P2_1/c (14)
Energy above the lowest structure with this stoichiometry in meV per atom: 195.1
Formation energy from the elements in kJ/mol of formula units: -133
Crystal system: monoclinic

POSCAR file:
```
Pm4TlGe
1.0
7.344 0.000 0.063
0.000 7.367 0.000
-0.046 0.000 7.540
Tl Pm Ge
2 8 2
Cartesian
3.672 3.684 0.031 Tl
0.000 0.000 0.000 Tl
4.902 4.917 4.953 Pm
2.396 2.451 2.650 Pm
6.068 1.233 2.681 Pm
1.055 2.550 6.217 Pm
1.230 6.134 4.921 Pm
4.727 1.133 6.248 Pm
2.572 6.234 1.354 Pm
6.244 4.817 1.385 Pm
3.649 0.000 3.801 Ge
-0.023 3.684 3.770 Ge
```



4.
A relaxed structure of Cr2ReRh. Source: the Alexandria database, functional PBE.

Output
Symmetry: Cmm2 (35)
Formation energy from the elements in kJ/mol of formula units: 63
Crystal system: orthorhombic

POSCAR file:
```
Cr2ReRh
1.0
2.618 -0.033 0.000
-0.861 2.473 0.000
0.000 0.000 8.278
Rh Cr Re
1 2 1
Cartesian
0.879 1.220 6.319 Rh
0.879 1.220 1.959 Cr
0.000 0.000 0.098 Cr
0.000 0.000 4.040 Re
```



5.
A relaxed structure of TeHRh3. Source: the Alexandria database, functional PBE.

Output
Raw total energy in eV/atom: -5.7448
Symmetry: Pm-3m (221)
Crystal system: cubic

POSCAR file:
```
TeHRh3
1.0
4.037 0.000 0.000
0.000 4.037 0.000
0.000 0.000 4.037
Rh Te H
3 1 1
Cartesian
0.000 2.019 0.000 Rh
0.000 0.000 2.019 Rh
2.019 0.000 0.000 Rh
2.019 2.019 2.019 Te
0.000 0.000 0.000 H
```



6.
A relaxed structure of CaCuIr2. Source: the Alexandria database, functional PBE.

Output
Symmetry: Cm (8)
Energy above the lowest structure with this stoichiometry in meV per atom: 13.0
Formation energy from the elements in kJ/mol of formula units: 14
Crystal system: monoclinic

POSCAR file:
```
CaCuIr2
1.0
-4.464 -1.503 -2.485
-2.448 -1.563 -4.464
-0.630 -4.975 -0.491
Ir Ca Cu
2 1 1
Cartesian
-5.603 -6.560 -5.509 Ir
-0.611 -4.548 -0.484 Ir
-3.690 -3.690 -3.647 Ca
-2.040 -2.238 -2.010 Cu
```



7.
A relaxed structure of Er6AlPd2. Source: the Alexandria database, functional PBE.

Output
Symmetry: Immm (71)
Formation energy from the elements in kJ/mol of formula units: -464
Crystal system: orthorhombic

POSCAR file:
```
Er6AlPd2
1.0
8.423 -0.015 -0.132
-3.205 7.789 0.132
-2.907 -3.687 6.994
Er Pd Al
12 4 2
Cartesian
-2.421 -0.805 5.752 Er
2.483 1.542 1.242 Er
-2.555 5.065 4.786 Er
-0.457 3.657 2.340 Er
-0.390 0.262 3.035 Er
5.891 1.684 0.239 Er
4.866 -0.978 2.208 Er
-0.173 2.546 5.752 Er
-3.581 2.403 6.756 Er
2.700 3.826 3.959 Er
4.732 4.892 1.242 Er
2.767 0.431 4.654 Er
0.520 -0.349 6.040 Pd
1.791 4.436 0.954 Pd
3.641 -2.444 4.530 Pd
1.875 -1.258 2.332 Pd
0.000 0.000 0.000 Al
-3.056 2.051 3.563 Al
```